Below is crystalline SrNiW at its relaxed geometry, with properties calculated at the PBE level.

Cell lengths 3.4927, 4.2464, 9.2007 Å; angles 90.00, 90.00, 90.00 degrees
With the nearest neighbours (Å) after each atom.
Atoms (fractional coordinates):
Sr (0.2500, 0.2500, 0.1737)  4 Ni 3.00
Sr (0.7500, 0.7500, 0.8263)  4 Ni 3.00
Ni (0.2500, 0.2500, 0.6964)  2 W 2.43
Ni (0.7500, 0.7500, 0.3036)  2 W 2.43
W (0.2500, 0.7500, 0.4866)  2 Ni 2.43
W (0.7500, 0.2500, 0.5134)  2 Ni 2.43

Space-group type: No. 59
E_form, meV per atom: 333

Below is crystalline SrNiW at its relaxed geometry, with properties calculated at the PBE level.

Cell lengths 5.6953, 5.6953, 5.6953 Å; angles 115.76, 87.27, 127.80 degrees
With the nearest neighbours (Å) after each atom.
Atoms (fractional coordinates):
Sr (0.1205, 0.2500, 0.3705)  4 Ni 3.04-3.14, 1 W 3.23, 2 Sr 3.29
Sr (0.8795, 0.7500, 0.6295)  4 Ni 3.04-3.14, 1 W 3.23, 2 Sr 3.29
Ni (0.4871, 0.4871, 0.0000)  2 W 2.44
Ni (0.4871, 0.9871, 0.5000)  2 W 2.44
W (0.4444, 0.9041, 0.0404)  2 Ni 2.44, 2 W 2.59
W (0.8637, 0.4041, 0.9596)  2 Ni 2.44, 2 W 2.59

Space-group type: No. 46
E_form, meV per atom: 466

Below is crystalline SrNi2W at its relaxed geometry, with properties calculated at the PBE level.

Cell lengths 3.1485, 3.1485, 7.1495 Å; angles 90.00, 90.00, 90.00 degrees
With the nearest neighbours (Å) after each atom.
Atoms (fractional coordinates):
Sr (0.0000, 0.0000, 0.0000)  4 Sr 3.15, 8 Ni 3.20
Ni (0.5000, 0.5000, 0.3223)  1 Ni 2.54, 4 W 2.56
Ni (0.5000, 0.5000, 0.6777)  1 Ni 2.54, 4 W 2.56
W (0.0000, 0.0000, 0.5000)  8 Ni 2.56

Space-group type: No. 123
E_form, meV per atom: 295

Below is crystalline SrNiW at its relaxed geometry, with properties calculated at the PBE level.

Cell lengths 9.9453, 9.9453, 3.8012 Å; angles 100.98, 100.98, 148.19 degrees
With the nearest neighbours (Å) after each atom.
Atoms (fractional coordinates):
Sr (0.0000, 0.0000, 0.0000)  4 Ni 3.04-3.05
Sr (0.6789, 0.3211, 0.0000)  4 Ni 3.05-3.06
Ni (0.2504, 0.7496, 0.0000)  4 W 2.54-2.62
Ni (0.4291, 0.5709, 0.0000)  4 W 2.50-2.67
W (0.3446, 0.6554, 0.5000)  4 Ni 2.50-2.62, 4 W 2.73-2.74
W (0.8345, 0.1655, 0.5000)  4 Ni 2.54-2.67, 4 W 2.73-2.74

Space-group type: No. 5
E_form, meV per atom: 353